(1)
Computed, not measured: crystalline Li4PrSn2 at its relaxed geometry at the PBE level of DFT.

Cell lengths 8.114, 8.114, 4.691 Å; angles 90.00, 90.00, 90.00 degrees
Positions (direct):
Li 0.105 0.352 0.000
Li 0.148 0.605 0.500
Li 0.352 0.105 0.000
Li 0.395 0.852 0.500
Li 0.605 0.148 0.500
Li 0.648 0.895 0.000
Li 0.852 0.395 0.500
Li 0.895 0.648 0.000
Pr 0.000 0.000 0.500
Pr 0.500 0.500 0.000
Sn 0.210 0.790 0.000
Sn 0.290 0.290 0.500
Sn 0.710 0.710 0.500
Sn 0.790 0.210 0.000

Output
- D(E_F) (states/eV/f.u.) = 2.9
- size of the total moment (μB/cell) = 0.00
- formation energy from the elements (meV per atom) = -475
- total energy (eV/atom) = -3.3946
- symmetry = P4_2/mnm, No. 136

(2)
Computed, not measured: crystalline Be2Fe2As at its relaxed geometry at the PBE level of DFT.

Cell lengths 5.901, 5.901, 3.131 Å; angles 90.00, 90.00, 90.00 degrees
Positions (direct):
Be 0.133 0.367 0.000
Be 0.367 0.867 0.000
Be 0.633 0.133 0.000
Be 0.867 0.633 0.000
Fe 0.156 0.656 0.500
Fe 0.344 0.156 0.500
Fe 0.656 0.844 0.500
Fe 0.844 0.344 0.500
As 0.000 0.000 0.500
As 0.500 0.500 0.500

Output
- D(E_F) (states/eV/f.u.) = 2.7
- size of the total moment (μB/cell) = 1.99
- formation energy from the elements (meV per atom) = 41
- total energy (eV/atom) = -5.7643
- symmetry = P4/mbm, No. 127

(3)
Computed, not measured: crystalline MnCrNiOs at its relaxed geometry at the PBE level of DFT.

Cell lengths 4.153, 4.153, 4.153 Å; angles 60.00, 60.00, 60.00 degrees
Positions (direct):
Mn 0.000 0.000 0.000
Cr 0.500 0.500 0.500
Ni 0.250 0.250 0.250
Os 0.750 0.750 0.750

Output
- D(E_F) (states/eV/f.u.) = 5.0
- size of the total moment (μB/cell) = 2.45
- formation energy from the elements (meV per atom) = 155
- total energy (eV/atom) = -8.7963
- symmetry = F-43m, No. 216

Question: Among the records above, which one has the lowest size of the total moment?
Answer: Li4PrSn2